No. 1
## Y2InAs (PBE)

Data for an optimized crystal structure of Y2InAs.

Cell and atoms, written as POSCAR:
```
Y2InAs
1.0
-2.1543 2.1543 5.4525
2.1543 -2.1543 5.4525
2.1543 2.1543 -5.4525
Y In As
2 1 1
Direct
0.0000 0.0000 0.0000 Y
0.7500 0.2500 0.5000 Y
0.5000 0.5000 0.0000 In
0.2500 0.7500 0.5000 As
```

Summary:
E in eV per atom: -5.769
Spin magnetization in μB per formula unit: 0.00
ΔH_f (0 K) in eV/atom: -0.690
Excess energy over the best structure of this formula in the dataset in eV per atom: 0.296

No. 2
## TlMoP2 (PBE)

Data for an optimized crystal structure of TlMoP2.

Cell and atoms, written as POSCAR:
```
TlMoP2
1.0
0.0000 3.2807 3.2807
3.2807 0.0000 3.2807
3.2807 3.2807 0.0000
Tl Mo P
1 1 2
Direct
0.0000 0.0000 0.0000 Tl
0.5000 0.5000 0.5000 Mo
0.2500 0.2500 0.2500 P
0.7500 0.7500 0.7500 P
```

Summary:
E in eV per atom: -5.338
Spin magnetization in μB per formula unit: 1.65
ΔH_f (0 K) in eV/atom: 0.666
Excess energy over the best structure of this formula in the dataset in eV per atom: 0.755

No. 3
## Sn3AsAu (PBE)

Data for an optimized crystal structure of Sn3AsAu.

Cell and atoms, written as POSCAR:
```
Sn3AsAu
1.0
5.4066 0.0000 0.0000
0.0000 5.4066 0.0000
0.0000 0.0000 5.4066
Sn As Au
3 1 1
Direct
0.0000 0.0000 0.5000 Sn
0.0000 0.5000 0.0000 Sn
0.5000 0.0000 0.0000 Sn
0.0000 0.0000 0.0000 As
0.5000 0.5000 0.5000 Au
```

Summary:
E in eV per atom: -3.392
Spin magnetization in μB per formula unit: 0.00
ΔH_f (0 K) in eV/atom: 0.595
Excess energy over the best structure of this formula in the dataset in eV per atom: 0.666

No. 4
## K2RbSi2 (PBE)

Data for an optimized crystal structure of K2RbSi2.

Cell and atoms, written as POSCAR:
```
K2RbSi2
1.0
-2.7676 2.7676 6.4566
2.7676 -2.7676 6.4566
2.7676 2.7676 -6.4566
K Rb Si
2 1 2
Direct
0.2500 0.7500 0.5000 K
0.7500 0.2500 0.5000 K
0.0000 0.0000 0.0000 Rb
0.4147 0.4147 0.0000 Si
0.5853 0.5853 0.0000 Si
```

Summary:
E in eV per atom: -2.642
Spin magnetization in μB per formula unit: 0.00
Excess energy over the best structure of this formula in the dataset in eV per atom: 0.002
Formation energy from raw total energies in eV/atom: 0.16

No. 5
## PuSeS (PBE)

Data for an optimized crystal structure of PuSeS.

Cell and atoms, written as POSCAR:
```
PuSeS
1.0
4.0941 0.0000 0.0000
-2.0471 3.5456 0.0000
0.0000 0.0000 6.4395
Pu Se S
1 1 1
Direct
0.0000 0.0000 0.0000 Pu
0.3333 0.6667 0.2388 Se
0.6667 0.3333 0.8060 S
```

Summary:
E in eV per atom: -8.597
Spin magnetization in μB per formula unit: 4.00
Excess energy over the best structure of this formula in the dataset in eV per atom: 0.074
Formation energy from raw total energies in eV/atom: -1.28

No. 6
## TaCoAs3 (PBE)

Data for an optimized crystal structure of TaCoAs3.

Cell and atoms, written as POSCAR:
```
TaCoAs3
1.0
4.9670 0.0000 0.0000
0.0000 4.9670 0.0000
0.0000 0.0000 4.9670
Ta Co As
1 1 3
Direct
0.0000 0.0000 0.0000 Ta
0.5000 0.5000 0.5000 Co
0.0000 0.0000 0.5000 As
0.0000 0.5000 0.0000 As
0.5000 0.0000 0.0000 As
```

Summary:
E in eV per atom: -5.689
Spin magnetization in μB per formula unit: 2.05
ΔH_f (0 K) in eV/atom: 0.893
Excess energy over the best structure of this formula in the dataset in eV per atom: 0.163

No. 7
## ZrMo4 (PBE)

Data for an optimized crystal structure of ZrMo4.

Cell and atoms, written as POSCAR:
```
ZrMo4
1.0
-2.1309 2.1309 5.3053
2.1309 -2.1309 5.3053
2.1309 2.1309 -5.3053
Zr Mo
1 4
Direct
0.0000 0.0000 0.0000 Zr
0.2500 0.7500 0.5000 Mo
0.3811 0.3811 0.0000 Mo
0.6189 0.6189 0.0000 Mo
0.7500 0.2500 0.5000 Mo
```

Summary:
E in eV per atom: -9.900
Spin magnetization in μB per formula unit: 0.00
ΔH_f (0 K) in eV/atom: 0.474
Excess energy over the best structure of this formula in the dataset in eV per atom: 0.513

No. 8
## Tb2HoC (PBE)

Data for an optimized crystal structure of Tb2HoC.

Cell and atoms, written as POSCAR:
```
Tb2HoC
1.0
1.7699 1.0219 9.6611
-1.7699 1.0219 9.6611
0.0000 -2.0438 9.6611
Tb Ho C
2 1 1
Direct
0.1199 0.1199 0.1199 Tb
0.8801 0.8801 0.8801 Tb
0.0000 0.0000 0.0000 Ho
0.5000 0.5000 0.5000 C
```

Summary:
E in eV per atom: -5.814
Spin magnetization in μB per formula unit: 0.01
ΔH_f (0 K) in eV/atom: -0.049

Please write out number 3 again, unchanged.
## Sn3AsAu (PBE)

Data for an optimized crystal structure of Sn3AsAu.

Cell and atoms, written as POSCAR:
```
Sn3AsAu
1.0
5.4066 0.0000 0.0000
0.0000 5.4066 0.0000
0.0000 0.0000 5.4066
Sn As Au
3 1 1
Direct
0.0000 0.0000 0.5000 Sn
0.0000 0.5000 0.0000 Sn
0.5000 0.0000 0.0000 Sn
0.0000 0.0000 0.0000 As
0.5000 0.5000 0.5000 Au
```

Summary:
E in eV per atom: -3.392
Spin magnetization in μB per formula unit: 0.00
ΔH_f (0 K) in eV/atom: 0.595
Excess energy over the best structure of this formula in the dataset in eV per atom: 0.666

- The lowest E belongs to which entry?
  ZrMo4

- The highest E belongs to which entry?
  K2RbSi2